{"formula": "NiP2O7", "functional": "GGA+U", "state": "optimized geometry", "lattice": [[3.4107, -4.0329, 0.0000], [3.4107, 4.0329, 0.0000], [-0.9746, 0.0000, 4.5734]], "species": ["Ni", "P", "P", "O", "O", "O", "O", "O", "O", "O"], "frac_coords": [[0.0000, 0.0000, 0.0000], [0.1572, 0.4516, 0.5879], [0.5484, 0.8428, 0.4121], [0.0465, 0.6711, 0.7373], [0.2193, 0.2592, 0.7941], [0.3289, 0.9535, 0.2627], [0.4334, 0.5666, 0.5000], [0.6955, 0.0186, 0.6907], [0.7408, 0.7807, 0.2059], [0.9814, 0.3045, 0.3093]], "density_g_cm3": 3.07, "n_ef_per_ev_cell": 3.74, "polymorph_energy_mev_per_atom": 31}

=====

{"formula": "Ni2P3O10", "functional": "GGA+U", "state": "optimized geometry", "lattice": [[4.6826, 0.0000, 0.0000], [0.0000, 8.4080, 0.0000], [-1.2736, 0.0000, 8.9089]], "species": ["Ni", "Ni", "Ni", "Ni", "P", "P", "P", "P", "P", "P", "O", "O", "O", "O", "O", "O", "O", "O", "O", "O", "O", "O", "O", "O", "O", "O", "O", "O", "O", "O"], "frac_coords": [[0.0492, 0.0681, 0.3369], [0.0492, 0.4319, 0.3369], [0.9508, 0.5681, 0.6631], [0.9508, 0.9319, 0.6631], [0.3459, 0.2500, 0.8141], [0.3906, 0.7500, 0.4646], [0.4914, 0.2500, 0.1463], [0.5086, 0.7500, 0.8537], [0.6094, 0.2500, 0.5354], [0.6541, 0.7500, 0.1859], [0.1777, 0.0975, 0.7927], [0.1777, 0.4025, 0.7927], [0.2014, 0.7500, 0.7685], [0.2272, 0.5967, 0.4923], [0.2272, 0.9033, 0.4923], [0.2987, 0.2500, 0.4532], [0.3169, 0.1012, 0.1742], [0.3169, 0.3988, 0.1742], [0.3998, 0.7500, 0.2867], [0.4567, 0.7500, 0.0266], [0.5433, 0.2500, 0.9734], [0.6002, 0.2500, 0.7133], [0.6831, 0.6012, 0.8258], [0.6831, 0.8988, 0.8258], [0.7013, 0.7500, 0.5468], [0.7728, 0.0967, 0.5077], [0.7728, 0.4033, 0.5077], [0.7986, 0.2500, 0.2315], [0.8223, 0.5975, 0.2073], [0.8223, 0.9025, 0.2073]], "density_g_cm3": 3.51, "n_ef_per_ev_cell": 10.87, "energy_ev_per_atom": -6.519}

=====

{"formula": "Ni2PO5", "functional": "GGA+U", "state": "optimized geometry", "lattice": [[7.1998, 0.0000, 0.0000], [0.0000, 6.3370, 0.0000], [0.0000, 0.0000, 7.5243]], "species": ["Ni", "Ni", "Ni", "Ni", "Ni", "Ni", "Ni", "Ni", "P", "P", "P", "P", "O", "O", "O", "O", "O", "O", "O", "O", "O", "O", "O", "O", "O", "O", "O", "O", "O", "O", "O", "O"], "frac_coords": [[0.0000, 0.0000, 0.0000], [0.0000, 0.5000, 0.0000], [0.1414, 0.2500, 0.2786], [0.3586, 0.7500, 0.7786], [0.5000, 0.0000, 0.5000], [0.5000, 0.5000, 0.5000], [0.6414, 0.2500, 0.2214], [0.8586, 0.7500, 0.7214], [0.1223, 0.7500, 0.3609], [0.3777, 0.2500, 0.8609], [0.6223, 0.7500, 0.1391], [0.8777, 0.2500, 0.6391], [0.0491, 0.2500, 0.5251], [0.1004, 0.7500, 0.8616], [0.1328, 0.5565, 0.2326], [0.1328, 0.9435, 0.2326], [0.1949, 0.2500, 0.9749], [0.3051, 0.7500, 0.4749], [0.3672, 0.0565, 0.7326], [0.3672, 0.4435, 0.7326], [0.3996, 0.2500, 0.3616], [0.4509, 0.7500, 0.0251], [0.5491, 0.2500, 0.9749], [0.6004, 0.7500, 0.6384], [0.6328, 0.5565, 0.2674], [0.6328, 0.9435, 0.2674], [0.6949, 0.2500, 0.5251], [0.8051, 0.7500, 0.0251], [0.8672, 0.0565, 0.7674], [0.8672, 0.4435, 0.7674], [0.8996, 0.2500, 0.1384], [0.9509, 0.7500, 0.4749]], "density_g_cm3": 4.42, "n_ef_per_ev_cell": 6.84, "polymorph_energy_mev_per_atom": 13}

=====

{"formula": "NiP3O9", "functional": "GGA+U", "state": "optimized geometry", "lattice": [[5.0599, 0.0000, 0.0000], [0.0000, 11.8578, 0.0000], [0.0000, 0.0000, 12.9138]], "species": ["Ni", "Ni", "Ni", "Ni", "P", "P", "P", "P", "P", "P", "P", "P", "P", "P", "P", "P", "O", "O", "O", "O", "O", "O", "O", "O", "O", "O", "O", "O", "O", "O", "O", "O", "O", "O", "O", "O", "O", "O", "O", "O", "O", "O", "O", "O", "O", "O", "O", "O", "O", "O", "O", "O"], "frac_coords": [[0.0000, 0.0000, 0.0000], [0.0000, 0.0000, 0.5000], [0.0000, 0.5000, 0.0000], [0.0000, 0.5000, 0.5000], [0.2390, 0.2500, 0.0000], [0.2390, 0.2500, 0.5000], [0.4932, 0.5821, 0.1313], [0.4932, 0.5821, 0.3687], [0.4932, 0.9179, 0.6313], [0.4932, 0.9179, 0.8687], [0.5068, 0.0821, 0.1313], [0.5068, 0.0821, 0.3687], [0.5068, 0.4179, 0.6313], [0.5068, 0.4179, 0.8687], [0.7610, 0.7500, 0.0000], [0.7610, 0.7500, 0.5000], [0.0842, 0.1538, 0.5462], [0.0842, 0.1538, 0.9538], [0.0842, 0.3462, 0.0462], [0.0842, 0.3462, 0.4538], [0.1999, 0.5624, 0.1194], [0.1999, 0.5624, 0.3806], [0.1999, 0.9376, 0.6194], [0.1999, 0.9376, 0.8806], [0.3198, 0.5054, 0.5902], [0.3198, 0.5054, 0.9098], [0.3198, 0.9946, 0.0902], [0.3198, 0.9946, 0.4098], [0.4390, 0.2059, 0.0870], [0.4390, 0.2059, 0.4130], [0.4390, 0.2941, 0.5870], [0.4390, 0.2941, 0.9130], [0.4450, 0.1058, 0.2500], [0.4450, 0.3942, 0.7500], [0.5550, 0.6058, 0.2500], [0.5550, 0.8942, 0.7500], [0.5610, 0.7059, 0.0870], [0.5610, 0.7059, 0.4130], [0.5610, 0.7941, 0.5870], [0.5610, 0.7941, 0.9130], [0.6802, 0.0054, 0.5902], [0.6802, 0.0054, 0.9098], [0.6802, 0.4946, 0.0902], [0.6802, 0.4946, 0.4098], [0.8001, 0.0624, 0.1194], [0.8001, 0.0624, 0.3806], [0.8001, 0.4376, 0.6194], [0.8001, 0.4376, 0.8806], [0.9158, 0.6538, 0.5462], [0.9158, 0.6538, 0.9538], [0.9158, 0.8462, 0.0462], [0.9158, 0.8462, 0.4538]], "density_g_cm3": 2.53, "polymorph_energy_mev_per_atom": 4}

=====

{"formula": "NiP2O6", "functional": "GGA+U", "state": "optimized geometry", "lattice": [[4.8717, -4.4303, 0.0000], [4.8717, 4.4303, 0.0000], [-1.5745, 0.0000, 4.7868]], "species": ["Ni", "Ni", "P", "P", "P", "P", "O", "O", "O", "O", "O", "O", "O", "O", "O", "O", "O", "O"], "frac_coords": [[0.1058, 0.8942, 0.7500], [0.8942, 0.1058, 0.2500], [0.1971, 0.3789, 0.7595], [0.3789, 0.1971, 0.2595], [0.6211, 0.8029, 0.7405], [0.8029, 0.6211, 0.2405], [0.0501, 0.1989, 0.6608], [0.1080, 0.5972, 0.8053], [0.1989, 0.0501, 0.1608], [0.3494, 0.3562, 0.5437], [0.3562, 0.3494, 0.0437], [0.4028, 0.8920, 0.6947], [0.5972, 0.1080, 0.3053], [0.6438, 0.6506, 0.9563], [0.6506, 0.6438, 0.4563], [0.8011, 0.9499, 0.8392], [0.8920, 0.4028, 0.1947], [0.9499, 0.8011, 0.3392]], "density_g_cm3": 3.48, "n_ef_per_ev_cell": 0.00, "energy_ev_per_atom": -6.748}

=====

{"formula": "NiPO4", "functional": "GGA+U", "state": "optimized geometry", "lattice": [[9.8888, 0.0000, 0.0000], [0.0000, 5.7362, 0.0000], [0.0000, 0.0000, 4.8117]], "species": ["Ni", "Ni", "Ni", "Ni", "P", "P", "P", "P", "O", "O", "O", "O", "O", "O", "O", "O", "O", "O", "O", "O", "O", "O", "O", "O"], "frac_coords": [[0.2273, 0.2500, 0.0630], [0.2727, 0.7500, 0.5630], [0.7273, 0.2500, 0.4370], [0.7727, 0.7500, 0.9370], [0.0915, 0.7500, 0.1195], [0.4085, 0.2500, 0.6195], [0.5915, 0.7500, 0.3805], [0.9085, 0.2500, 0.8805], [0.0615, 0.2500, 0.8242], [0.1119, 0.7500, 0.8044], [0.1626, 0.5398, 0.2689], [0.1626, 0.9602, 0.2689], [0.3374, 0.0398, 0.7689], [0.3374, 0.4602, 0.7689], [0.3881, 0.2500, 0.3044], [0.4385, 0.7500, 0.3242], [0.5615, 0.2500, 0.6758], [0.6119, 0.7500, 0.6956], [0.6626, 0.5398, 0.2311], [0.6626, 0.9602, 0.2311], [0.8374, 0.0398, 0.7311], [0.8374, 0.4602, 0.7311], [0.8881, 0.2500, 0.1956], [0.9385, 0.7500, 0.1758]], "density_g_cm3": 3.74, "n_ef_per_ev_cell": 10.42, "energy_ev_per_atom": -6.178}

=====

{"formula": "NiP3O9", "functional": "GGA+U", "state": "optimized geometry", "lattice": [[9.4105, 0.0000, 0.0000], [-3.1071, 9.0204, 0.0000], [-3.3938, -3.8789, 8.5072]], "species": ["Ni", "Ni", "Ni", "Ni", "P", "P", "P", "P", "P", "P", "P", "P", "P", "P", "P", "P", "O", "O", "O", "O", "O", "O", "O", "O", "O", "O", "O", "O", "O", "O", "O", "O", "O", "O", "O", "O", "O", "O", "O", "O", "O", "O", "O", "O", "O", "O", "O", "O", "O", "O", "O", "O"], "frac_coords": [[0.2008, 0.4124, 0.2922], [0.2718, 0.7508, 0.2322], [0.7282, 0.2492, 0.7678], [0.7992, 0.5876, 0.7078], [0.0699, 0.2117, 0.9158], [0.1206, 0.5098, 0.8659], [0.1599, 0.9376, 0.7959], [0.2958, 0.5664, 0.6661], [0.3319, 0.9980, 0.5896], [0.4081, 0.3217, 0.5727], [0.5919, 0.6783, 0.4273], [0.6681, 0.0020, 0.4104], [0.7042, 0.4336, 0.3339], [0.8401, 0.0624, 0.2041], [0.8794, 0.4902, 0.1341], [0.9301, 0.7883, 0.0842], [0.0130, 0.7754, 0.7398], [0.0641, 0.5268, 0.1833], [0.1020, 0.0777, 0.8135], [0.1179, 0.8497, 0.1419], [0.1382, 0.3457, 0.8525], [0.1556, 0.5324, 0.7242], [0.1804, 0.2708, 0.0880], [0.1958, 0.9356, 0.6499], [0.2059, 0.5380, 0.4961], [0.2560, 0.6462, 0.0187], [0.2733, 0.8614, 0.4381], [0.2963, 0.1440, 0.5556], [0.3120, 0.9775, 0.9433], [0.3516, 0.3292, 0.4166], [0.3524, 0.4273, 0.6825], [0.4047, 0.6270, 0.3306], [0.4403, 0.7360, 0.7641], [0.4905, 0.9354, 0.2843], [0.5095, 0.0646, 0.7157], [0.5597, 0.2640, 0.2359], [0.5953, 0.3730, 0.6694], [0.6476, 0.5727, 0.3175], [0.6484, 0.6708, 0.5834], [0.6880, 0.0225, 0.0567], [0.7037, 0.8560, 0.4444], [0.7267, 0.1386, 0.5619], [0.7440, 0.3538, 0.9813], [0.7941, 0.4620, 0.5039], [0.8042, 0.0644, 0.3501], [0.8196, 0.7292, 0.9120], [0.8444, 0.4676, 0.2758], [0.8618, 0.6543, 0.1475], [0.8821, 0.1503, 0.8581], [0.8980, 0.9223, 0.1865], [0.9359, 0.4732, 0.8167], [0.9870, 0.2246, 0.2602]], "density_g_cm3": 2.72, "n_ef_per_ev_cell": 18.25, "polymorph_energy_mev_per_atom": 30}

=====

{"formula": "NiPO4", "functional": "GGA+U", "state": "optimized geometry", "lattice": [[2.6941, -5.8434, 0.0000], [2.6941, 5.8434, 0.0000], [-2.6933, 0.0000, 4.7101]], "species": ["Ni", "Ni", "P", "P", "O", "O", "O", "O", "O", "O", "O", "O"], "frac_coords": [[0.1247, 0.8753, 0.5000], [0.8753, 0.1247, 0.0000], [0.5690, 0.8190, 0.3882], [0.8190, 0.5690, 0.8882], [0.3375, 0.4706, 0.1951], [0.4673, 0.8943, 0.5947], [0.4706, 0.3375, 0.6951], [0.6075, 0.9737, 0.1946], [0.8769, 0.9508, 0.5954], [0.8943, 0.4673, 0.0947], [0.9508, 0.8769, 0.0954], [0.9737, 0.6075, 0.6946]], "density_g_cm3": 3.44, "n_ef_per_ev_cell": 5.89, "energy_ev_per_atom": -6.129}